Density functional theory data (PBE+U) for a geometry-optimized Li2UNiO6 structure.

DFT total energy, eV/atom: -6.6918

```
Li2UNiO6
1.0
5.200 0.001 0.002
2.601 4.506 0.001
2.602 1.502 4.612
O Li Ni U
6 2 1 1
direct
0.938 0.595 0.281
0.076 0.455 0.768
0.456 0.702 0.767
0.701 0.075 0.768
0.185 0.938 0.282
0.595 0.185 0.282
0.534 0.534 0.398
0.035 0.035 0.895
0.822 0.822 0.535
0.320 0.320 0.039
```